No. 1
The following is a DFT calculation (PBE-GGA) of a geometry-optimized Tb3Te3I structure.

Calculated values
- Crystal system: tetragonal
- V: 231.9 Å³ per cell

a = 4.3608 Å, b = 4.3608 Å, c = 12.1948 Å
α = 90.00°, β = 90.00°, γ = 90.00°
Atoms (fractional coordinates):
1 Tb 0.0000 0.0000 0.7488
2 Tb 0.0000 0.0000 0.2512
3 Tb 0.5000 0.5000 0.0000
4 Te 0.0000 0.0000 0.0000
5 Te 0.5000 0.5000 0.7408
6 Te 0.5000 0.5000 0.2592
7 I 0.0000 0.0000 0.5000


No. 2
The following is a DFT calculation (PBE-GGA) of a geometry-optimized Tb2TeI structure.

Calculated values
- Crystal system: cubic
- V: 108.6 Å³ per cell

a = 5.3554 Å, b = 5.3554 Å, c = 5.3554 Å
α = 60.00°, β = 60.00°, γ = 60.00°
Atoms (fractional coordinates):
1 I 0.0000 0.0000 0.0000
2 Te 0.5000 0.5000 0.5000
3 Tb 0.2500 0.2500 0.2500
4 Tb 0.7500 0.7500 0.7500


No. 3
The following is a DFT calculation (PBE-GGA) of a geometry-optimized Tb2TeI structure.

Calculated values
- Crystal system: orthorhombic
- V: 287.2 Å³ per cell

a = 4.1014 Å, b = 7.3308 Å, c = 9.5513 Å
α = 90.00°, β = 89.96°, γ = 89.99°
Site moments in Bohr magnetons follow the coordinates.
Atoms (fractional coordinates):
1 Tb 0.7008 0.6843 0.2928  0.09
2 Tb 0.7015 0.5000 0.6891  0.13
3 Tb 0.2005 0.0001 0.5268  0.13
4 Tb 0.2013 0.1843 0.9232  0.09
5 Te 0.2009 0.9523 0.1969  0.00
6 Te 0.7011 0.4523 0.0191  0.00
7 I 0.2012 0.7967 0.7998  0.00
8 I 0.7006 0.2968 0.4161  0.00


No. 4
The following is a DFT calculation (PBE-GGA) of a geometry-optimized Tb2Te2I structure.

Calculated values
- Crystal system: orthorhombic
- V: 173.8 Å³ per cell

a = 4.3458 Å, b = 6.0498 Å, c = 7.5878 Å
α = 113.49°, β = 106.64°, γ = 90.00°
Atoms (fractional coordinates):
1 Tb 0.6817 0.1817 0.3633
2 Tb 0.3183 0.8183 0.6367
3 Te 0.3434 0.3434 0.6868
4 Te 0.6566 0.6566 0.3132
5 I 0.0000 0.0000 0.0000


No. 5
The following is a DFT calculation (PBE-GGA) of a geometry-optimized Tb6Te8I structure.

Calculated values
- Crystal system: trigonal
- V: 551.6 Å³ per cell

a = 4.4530 Å, b = 11.9602 Å, c = 11.9602 Å
α = 120.00°, β = 90.00°, γ = 90.00°
Atoms (fractional coordinates):
1 Tb 0.7494 0.5213 0.6587
2 Tb 0.7494 0.3413 0.8626
3 Tb 0.7494 0.1374 0.4787
4 Tb 0.2506 0.4787 0.3413
5 Tb 0.2506 0.6587 0.1374
6 Tb 0.2506 0.8626 0.5213
7 Te 0.7517 0.6347 0.9522
8 Te 0.7517 0.0478 0.6825
9 Te 0.7517 0.3175 0.3653
10 Te 0.2483 0.3653 0.0478
11 Te 0.2483 0.9522 0.3175
12 Te 0.2483 0.6825 0.6347
13 Te 0.7504 0.6667 0.3333
14 Te 0.2496 0.3333 0.6667
15 I 0.5000 0.0000 0.0000


No. 6
The following is a DFT calculation (PBE-GGA) of a geometry-optimized Tb2TeI structure.

Calculated values
- Crystal system: trigonal
- V: 118.3 Å³ per cell

a = 4.0138 Å, b = 4.0138 Å, c = 8.7900 Å
α = 76.80°, β = 76.80°, γ = 60.00°
Atoms (fractional coordinates):
1 Tb 0.0792 0.0792 0.7625
2 Tb 0.2544 0.2544 0.2367
3 Te 0.6666 0.6666 0.0002
4 I 0.4998 0.4998 0.5007


The evaluated E_tot for the records listed, in turn: -4.903, -4.457, -4.275, -4.723, -4.902, -4.472 eV/atom.